Below is a relaxed CrH3Se crystal, with properties calculated at the PBE level.

Output
Crystal system: cubic
E above lowest polymorph (eV/atom): 0.8393

abc: 3.5580 3.5580 3.5580
angles: 90.00 90.00 90.00
Space group Pm-3m (No. 221)
One atom of each set of equivalent atoms:
Cr 0.0000 0.0000 0.0000 x1
H 0.0000 0.5000 0.5000 x3
Se 0.5000 0.5000 0.5000 x1



Below is a relaxed CrHSe3 crystal, with properties calculated at the PBE level.

Output
Crystal system: cubic
E above lowest polymorph (eV/atom): 0.0000

abc: 4.7433 4.7433 4.7433
angles: 90.00 90.00 90.00
Space group Pm-3m (No. 221)
One atom of each set of equivalent atoms:
Cr 0.0000 0.0000 0.0000 x1
H 0.5000 0.5000 0.5000 x1
Se 0.0000 0.0000 0.5000 x3



Below is a relaxed CrHSe crystal, with properties calculated at the PBE level.

Output
Crystal system: tetragonal
Total DFT energy (no corrections) (eV per atom): -5.610

abc: 3.6615 3.6615 6.3392
angles: 90.00 90.00 90.00
Space group P4/nmm (No. 129, origin choice 2)
One atom of each set of equivalent atoms:
Cr 0.2500 0.7500 0.0000 x2
H 0.2500 0.2500 0.0963 x2
Se 0.2500 0.2500 0.7271 x2



| no. | total magnetic moment (μB/atom) |
| --- | --- |
| 1 | 0.00 |
| 2 | 0.21 |
| 3 | 0.48 |